Crystalline BaZn2IrAu at its relaxed geometry, computed with PBE.

Cell: 4.8505 4.8505 5.3458 Å, 90.00 90.00 90.00°
Last column: nearest neighbours and their distance in Å.
Fractional positions:
Zn  0.0000  0.5000  0.0000  2 Ir 2.43
Zn  0.5000  0.0000  0.0000  2 Ir 2.43
Ir  0.0000  0.0000  0.0000  4 Zn 2.43, 2 Au 2.67
Au  0.0000  0.0000  0.5000  2 Ir 2.67
Ba  0.5000  0.5000  0.5000  4 Au 3.43, 8 Zn 3.61

**Symmetry**: P4/mmm (123)
**Total energy**: -18.0 eV for the cell shown
**Volume**: 25.15 Å³ per atom
**Magnetic moment**: 0.0 μB/cell